The following is a PBE+U calculation of CoBPO after structural relaxation, from OQMD.

E_tot: -6.143 eV per atom
Energy above the most stable polymorph in this dataset: 0.000 eV per atom
Spin magnetization: 2.10 Bohr magnetons per cell

POSCAR file:
```
CoBPO
1.0
3.2694 0.0000 0.0000
0.0000 6.1818 0.0000
0.0000 0.0000 4.4320
Co B P O
2 2 2 2
Direct
0.0000 0.1331 0.0000
0.0000 0.8669 0.5000
0.5000 0.3902 0.5872
0.5000 0.6098 0.0872
0.0000 0.2154 0.4829
0.0000 0.7846 0.9829
0.5000 0.4044 0.9246
0.5000 0.5956 0.4246
```